1.
VASP calculation (GGA-PBE) on a relaxed structure of Li2CdRh.

Output
- Calculated formation energy: -0.144 eV/atom
- E: -3.168 eV per atom
- Spin magnetization: 0.00 μB per cell
- Fermi-level density of states: 1.546 states/eV/cell

Lattice parameters (Å, degrees): 3.2404 3.2404 6.0288 90.00 90.00 90.00
Last column: nearest neighbours and their distance in Å.
Space group P4mm (No. 99)
Unique sites:
Li  0.0000  0.0000  0.0000 [1 per cell]  1 Rh 2.73, 4 Li 2.75, 4 Cd 2.86
Li  0.5000  0.5000  0.2524 [1 per cell]  4 Rh 2.59, 4 Li 2.75, 1 Cd 2.79
Cd  0.5000  0.5000  0.7158 [1 per cell]  4 Rh 2.79, 5 Li 2.79-2.86
Rh  0.0000  0.0000  0.4525 [1 per cell]  5 Li 2.59-2.73, 4 Cd 2.79


2.
VASP calculation (GGA-PBE) on a relaxed structure of LiCd2Rh2.

Output
- Calculated formation energy: -0.049 eV/atom
- E: -3.738 eV per atom
- Spin magnetization: 0.00 μB per cell
- Fermi-level density of states: 6.849 states/eV/cell

Lattice parameters (Å, degrees): 7.5449 7.5449 3.1977 90.00 90.00 90.00
Last column: nearest neighbours and their distance in Å.
Space group P4/mbm (No. 127)
Unique sites:
Li  0.0000  0.0000  0.0000 [2 per cell]  4 Rh 2.98, 2 Li 3.20, 8 Cd 3.22
Cd  0.1723  0.3277  0.5000 [4 per cell]  6 Rh 2.69-2.78
Rh  0.1247  0.6247  0.0000 [4 per cell]  1 Rh 2.66, 6 Cd 2.69-2.78


3.
VASP calculation (GGA-PBE) on a relaxed structure of Li5Cd5Rh2.

Output
- Calculated formation energy: -0.211 eV/atom
- E: -2.615 eV per atom
- Spin magnetization: 0.00 μB per cell
- Fermi-level density of states: 10.616 states/eV/cell

Lattice parameters (Å, degrees): 13.6161 4.6023 7.8983 90.00 123.68 90.00
Last column: nearest neighbours and their distance in Å.
Space group C2/m (No. 12)
Unique sites:
Li  0.0000  0.0000  0.0000 [2 per cell]  6 Cd 2.74-2.79, 2 Li 2.81
Li  0.1068  0.0000  0.4233 [4 per cell]  3 Rh 2.61-2.69, 2 Li 2.72-2.81, 1 Cd 2.83
Li  0.1648  0.0000  0.8124 [4 per cell]  1 Li 2.72, 6 Cd 2.81-3.01
Cd  0.0000  0.5000  0.5000 [2 per cell]  4 Cd 2.91-2.93, 8 Li 2.96-3.21, 2 Rh 3.07
Cd  0.0881  0.5000  0.9299 [4 per cell]  2 Rh 2.77-2.78, 5 Li 2.79-2.88, 1 Cd 2.91
Cd  0.2415  0.0000  0.2502 [4 per cell]  5 Li 2.74-3.01, 3 Rh 2.78-2.81, 1 Cd 2.93
Rh  0.1561  0.5000  0.3323 [4 per cell]  3 Li 2.61-2.69, 5 Cd 2.77-2.81